(1)
DFT (GGA-PBE) results for Ce4ZnGa3 after structural relaxation.

extended XYZ file:
```
8
Lattice="4.3515 0.0000 0.0000 0.0000 4.1374 0.0000 0.0000 0.0000 11.1139" Properties=species:S:1:pos:R:3 pbc="T T T"
Ga 2.1758 0.0000 10.3325
Ga 0.0000 2.0687 6.3506
Ce 0.0000 2.0687 9.5000
Zn 2.1758 2.0687 0.7585
Ce 0.0000 0.0000 1.6220
Ce 2.1758 2.0687 3.9423
Ga 0.0000 0.0000 4.7671
Ce 2.1758 0.0000 7.1827
```

Output
Magnetization ... 0.478 μB per atom
E_form ... -286 kJ/mol of formula units
Energy above the most stable polymorph in this dataset ... 17 meV per atom
Volume ... 200.1 Å³/cell


(2)
DFT (GGA-PBE) results for BaLi3Re after structural relaxation.

extended XYZ file:
```
5
Lattice="-3.6801 1.3075 -3.2721 -0.4820 -4.8736 -1.4053 -3.4905 -0.7055 3.6439" Properties=species:S:1:pos:R:3 pbc="T T T"
Li -1.8401 0.6537 -1.6361
Li -0.2410 -2.4368 -0.7027
Ba -3.8263 -2.1358 -0.5168
Re 0.0000 0.0000 0.0000
Li -1.7453 -0.3527 1.8219
```

Output
Magnetization ... 0.320 μB per atom
E_form ... 454 kJ/mol of formula units
Energy above the most stable polymorph in this dataset ... 0 meV per atom
Volume ... 132.3 Å³/cell